No. 1
CaAu2Se | Alexandria via LeMat-Bulk | PBE | optimized geometry; crystal system = monoclinic; density = 8065 kg/m³; space group = Cm; E_form (uncorrected) = -0.6622 eV per atom
1.0
4.1214 -2.3632 0.0000
4.1214 2.3632 0.0000
-0.0239 0.0000 5.4216
Ca Au Se
1 2 1
Direct
0.0000 0.0000 0.0000
0.3319 0.3319 0.6663
0.6639 0.6639 0.6527
0.3328 0.3328 0.1807


No. 2
Tc2PbSe | Alexandria via LeMat-Bulk | PBE | optimized geometry; E above lowest polymorph = 0.797 eV per atom; crystal system = tetragonal; density = 8132 kg/m³; space group = I-42d; E_form (uncorrected) = 0.9498 eV per atom
1.0
-3.0067 3.0067 5.4453
3.0067 -3.0067 5.4453
3.0067 3.0067 -5.4453
Tc Pb Se
4 2 2
Direct
0.0771 0.6250 0.9521
0.3750 0.3271 0.4521
0.6729 0.1250 0.0479
0.8750 0.9229 0.5479
0.2500 0.7500 0.5000
0.5000 0.5000 0.0000
0.0000 0.0000 0.0000
0.7500 0.2500 0.5000


No. 3
Ca2CrW | Alexandria via LeMat-Bulk | PBE | optimized geometry; E above lowest polymorph = 0.587 eV per atom; crystal system = monoclinic; density = 5923 kg/m³; space group = C2/m; energy relative to the elements = 1.08 eV per atom
1.0
5.2628 -1.4977 0.0000
5.2628 1.4977 0.0000
-0.6590 0.0000 5.6198
Ca Cr W
2 1 1
Direct
0.2474 0.2474 0.2427
0.7526 0.7526 0.7573
0.0000 0.0000 0.5000
0.5000 0.5000 0.0000


No. 4
Hf2NbS | Alexandria via LeMat-Bulk | PBE | optimized geometry; crystal system = trigonal; density = 10307 kg/m³; space group = R3m; E_form (uncorrected) = -0.5153 eV per atom
1.0
1.6469 0.9508 8.2641
-1.6469 0.9508 8.2641
0.0000 -1.9017 8.2641
Hf Nb S
2 1 1
Direct
0.0000 0.0000 0.0000
0.1852 0.1852 0.1852
0.4260 0.4260 0.4260
0.5943 0.5943 0.5943


No. 5
LuZnSn2 | Alexandria via LeMat-Bulk | PBE | optimized geometry; E above lowest polymorph = 0.030 eV per atom; crystal system = tetragonal; density = 8698 kg/m³; space group = P4/mmm; energy relative to the elements = -0.35 eV per atom
1.0
4.5894 0.0000 0.0000
0.0000 4.5894 0.0000
0.0000 0.0000 4.3306
Lu Zn Sn
1 1 2
Direct
0.0000 0.0000 0.0000
0.5000 0.5000 0.0000
0.0000 0.5000 0.5000
0.5000 0.0000 0.5000


No. 6
CaNbGeTeP | Alexandria via LeMat-Bulk | PBE | optimized geometry; E above lowest polymorph = 0.091 eV per atom; crystal system = monoclinic; density = 5064 kg/m³; space group = Cm; E_form (uncorrected) = -0.5146 eV per atom
1.0
4.4817 -1.8815 0.0000
4.4817 1.8815 0.0000
-4.3973 0.0000 7.0819
Ca Nb Ge Te P
1 1 1 1 1
Direct
0.0000 0.0000 0.0000
0.0289 0.0289 0.4431
0.7090 0.7090 0.3886
0.5651 0.5651 0.7258
0.3936 0.3936 0.1882


No. 7
LaY2Os | Alexandria via LeMat-Bulk | PBE | optimized geometry; E above lowest polymorph = 0.456 eV per atom; crystal system = tetragonal; density = 8377 kg/m³; space group = I4/mmm; energy relative to the elements = 0.25 eV per atom
1.0
-2.2375 2.2375 5.0178
2.2375 -2.2375 5.0178
2.2375 2.2375 -5.0178
La Y Os
1 2 1
Direct
0.0000 0.0000 0.0000
0.2500 0.7500 0.5000
0.7500 0.2500 0.5000
0.5000 0.5000 0.0000


No. 8
AsWSe2N | Alexandria via LeMat-Bulk | PBE | optimized geometry; E above lowest polymorph = 0.000 eV per atom; crystal system = tetragonal; density = 7313 kg/m³; space group = P4/mmm; E_form (uncorrected) = 0.3905 eV per atom
1.0
5.0733 0.0000 0.0000
0.0000 5.0733 0.0000
0.0000 0.0000 3.7994
As W Se N
1 1 2 1
Direct
0.0000 0.0000 0.0000
0.5000 0.5000 0.5000
0.0000 0.5000 0.5000
0.5000 0.0000 0.5000
0.5000 0.5000 0.0000


No. 9
Li8HgBi2 | Alexandria via LeMat-Bulk | PBE | optimized geometry; E above lowest polymorph = 0.002 eV per atom; crystal system = orthorhombic; density = 5069 kg/m³; space group = Immm; energy relative to the elements = -0.41 eV per atom
1.0
-2.3702 3.3073 7.0419
2.3702 -3.3073 7.0419
2.3702 3.3073 -7.0419
Li Hg Bi
8 1 2
Direct
0.1186 0.3481 0.7705
0.1750 0.1750 0.0000
0.2697 0.0000 0.2697
0.4224 0.6519 0.7705
0.5776 0.3481 0.2295
0.7303 0.0000 0.7303
0.8250 0.8250 0.0000
0.8814 0.6519 0.2295
0.0000 0.5000 0.5000
0.3199 0.8199 0.5000
0.6801 0.1801 0.5000


No. 10
CeHfCuMo | Alexandria via LeMat-Bulk | PBE | optimized geometry; crystal system = cubic; density = 10229 kg/m³; space group = F-43m; energy relative to the elements = 0.05 eV per atom
1.0
0.0000 3.3855 3.3855
3.3855 0.0000 3.3855
3.3855 3.3855 0.0000
Ce Hf Cu Mo
1 1 1 1
Direct
0.0000 0.0000 0.0000
0.5000 0.5000 0.5000
0.7500 0.7500 0.7500
0.2500 0.2500 0.2500


Looking at DOS at the Fermi energy for the records above, in order, we have 1.25 1.54 2.78 3.76 1.08 1.41 3.35 3.24 4.49 3.94 states/eV per cell.
Looking at calculated volume for the records above, in order, we have 26.40 24.61 22.15 19.41 22.80 23.89 25.12 19.56 20.07 19.40 Å³/atom.